No. 1
# GGA-PBEsol WN2O2, relaxed
data_WN2O2
_cell_length_a 3.494
_cell_length_b 3.494
_cell_length_c 3.325
_cell_angle_alpha 90.00
_cell_angle_beta 90.00
_cell_angle_gamma 90.00
_symmetry_space_group_name_H-M 'P 4/m m m'
_symmetry_Int_Tables_number 123
_symmetry_space_group_name_Hall '-P 4 2'
loop_
_atom_site_label
_atom_site_type_symbol
_atom_site_fract_x
_atom_site_fract_y
_atom_site_fract_z
W1 W 0.000 0.000 0.000
N1 N 0.000 0.500 0.500
O1 O 0.500 0.500 0.000
O2 O 0.500 0.500 0.500
# Formation energy without anion corrections: 1.51 eV per atom

=====

No. 2
# GGA-PBEsol CsH5S2N2O6, relaxed
data_CsH5S2N2O6
_cell_length_a 5.199
_cell_length_b 6.170
_cell_length_c 24.799
_cell_angle_alpha 90.00
_cell_angle_beta 90.00
_cell_angle_gamma 90.00
_symmetry_space_group_name_H-M 'P 21 21 21'
_symmetry_Int_Tables_number 19
_symmetry_space_group_name_Hall 'P 2ac 2ab'
loop_
_atom_site_label
_atom_site_type_symbol
_atom_site_fract_x
_atom_site_fract_y
_atom_site_fract_z
Cs1 Cs 0.114 0.029 0.346
H1 H 0.026 0.651 0.748
H2 H 0.093 0.055 0.582
H3 H 0.110 0.837 0.536
H4 H 0.118 0.101 0.512
H5 H 0.234 0.491 0.783
S1 S 0.170 0.983 0.683
S2 S 0.209 0.499 0.465
N1 N 0.045 0.997 0.542
N2 N 0.047 0.505 0.768
O1 O 0.086 0.981 0.211
O2 O 0.120 0.640 0.423
O3 O 0.124 0.151 0.641
O4 O 0.132 0.764 0.662
O5 O 0.151 0.269 0.457
O6 O 0.167 0.572 0.520
# Total energy: -5.7575 eV/atom